<A>
Below is an optimized crystal structure of PrHgSb, with properties calculated at the GGA-PBE level.

Unit cell a=4.393 b=4.703 c=8.678 alpha=82.90 beta=75.43 gamma=89.93
Fractional positions:
Pr  0.092  0.282  0.309
Pr  0.908  0.718  0.691
Hg  0.254  0.765  0.995
Hg  0.746  0.235  0.005
Sb  0.428  0.230  0.653
Sb  0.572  0.770  0.347

Computed properties:
Volume (A^3/atom): 28.69


<B>
Below is an optimized crystal structure of PrHgSb, with properties calculated at the GGA-PBE level.

Unit cell a=5.274 b=5.274 c=5.274 alpha=60.00 beta=60.00 gamma=60.00
Fractional positions:
Pr  0.000  0.000  0.000
Hg  0.250  0.250  0.250
Sb  0.750  0.750  0.750

Computed properties:
Volume (A^3/atom): 34.58


Least stable = <B>


<A>
Below is an optimized crystal structure of Pr2ScHg, with properties calculated at the GGA-PBE level.

Unit cell a=5.479 b=5.479 c=5.479 alpha=60.00 beta=60.00 gamma=60.00
Fractional positions:
Pr  0.250  0.250  0.250
Pr  0.750  0.750  0.750
Sc  0.000  0.000  0.000
Hg  0.500  0.500  0.500

Computed properties:
Volume (A^3/atom): 29.08


<B>
Below is an optimized crystal structure of Pr2ScHg, with properties calculated at the GGA-PBE level.

Unit cell a=10.851 b=10.851 c=10.851 alpha=19.29 beta=19.29 gamma=19.29
Fractional positions:
Pr  0.000  0.000  0.000
Pr  0.171  0.171  0.171
Sc  0.418  0.418  0.418
Hg  0.585  0.585  0.585

Computed properties:
Volume (A^3/atom): 30.48


Least stable = <B>


<A>
Below is an optimized crystal structure of Pr2ScHg, with properties calculated at the GGA-PBE level.

Unit cell a=3.760 b=3.760 c=8.428 alpha=90.00 beta=90.00 gamma=90.00
Fractional positions:
Pr  0.000  0.000  0.240
Pr  0.000  0.000  0.760
Sc  0.500  0.500  0.500
Hg  0.500  0.500  0.000

Computed properties:
Volume (A^3/atom): 29.79


<B>
Below is an optimized crystal structure of Pr2ScHg, with properties calculated at the GGA-PBE level.

Unit cell a=11.960 b=11.960 c=11.960 alpha=16.55 beta=16.55 gamma=16.55
Fractional positions:
Pr  0.091  0.091  0.091
Pr  0.909  0.909  0.909
Sc  0.000  0.000  0.000
Hg  0.500  0.500  0.500

Computed properties:
Volume (A^3/atom): 30.27


Least stable = <B>


<A>
Below is an optimized crystal structure of PrScHg4, with properties calculated at the GGA-PBE level.

Unit cell a=4.586 b=4.586 c=8.150 alpha=90.00 beta=90.00 gamma=90.00
Fractional positions:
Pr  0.000  0.000  0.000
Sc  0.500  0.500  0.500
Hg  0.000  0.500  0.277
Hg  0.000  0.500  0.723
Hg  0.500  0.000  0.277
Hg  0.500  0.000  0.723

Computed properties:
Volume (A^3/atom): 28.57


<B>
Below is an optimized crystal structure of PrScHg4, with properties calculated at the GGA-PBE level.

Unit cell a=5.411 b=5.411 c=8.047 alpha=107.15 beta=107.15 gamma=42.04
Fractional positions:
Pr  0.000  0.000  0.000
Sc  0.000  0.000  0.500
Hg  0.333  0.333  0.647
Hg  0.337  0.337  0.196
Hg  0.663  0.663  0.804
Hg  0.667  0.667  0.353

Computed properties:
Volume (A^3/atom): 24.95


Least stable = <A>


<A>
Below is an optimized crystal structure of Pr2ScHg4, with properties calculated at the GGA-PBE level.

Unit cell a=8.712 b=8.712 c=8.712 alpha=143.84 beta=143.84 gamma=52.07
Fractional positions:
Pr  0.115  0.115  0.000
Pr  0.885  0.885  0.000
Sc  0.500  0.500  0.000
Hg  0.000  0.500  0.500
Hg  0.317  0.317  0.000
Hg  0.500  0.000  0.500
Hg  0.683  0.683  0.000

Computed properties:
Volume (A^3/atom): 32.70


<B>
Below is an optimized crystal structure of Pr2ScHg4, with properties calculated at the GGA-PBE level.

Unit cell a=10.234 b=10.234 c=10.234 alpha=27.53 beta=27.53 gamma=27.53
Fractional positions:
Pr  0.247  0.247  0.247
Pr  0.753  0.753  0.753
Sc  0.000  0.000  0.000
Hg  0.138  0.138  0.138
Hg  0.363  0.363  0.363
Hg  0.637  0.637  0.637
Hg  0.862  0.862  0.862

Computed properties:
Volume (A^3/atom): 28.87


Least stable = <A>


<A>
Below is an optimized crystal structure of PrSm2Hg, with properties calculated at the GGA-PBE level.

Unit cell a=5.534 b=5.534 c=5.534 alpha=60.00 beta=60.00 gamma=60.00
Fractional positions:
Pr  0.000  0.000  0.000
Sm  0.250  0.250  0.250
Sm  0.750  0.750  0.750
Hg  0.500  0.500  0.500

Computed properties:
Volume (A^3/atom): 29.96


<B>
Below is an optimized crystal structure of PrSm2Hg, with properties calculated at the GGA-PBE level.

Unit cell a=4.930 b=4.930 c=4.919 alpha=90.00 beta=90.00 gamma=90.00
Fractional positions:
Pr  0.000  0.000  0.000
Sm  0.000  0.500  0.500
Sm  0.500  0.000  0.500
Hg  0.500  0.500  0.000

Computed properties:
Volume (A^3/atom): 29.89


Least stable = <A>


<A>
Below is an optimized crystal structure of PrSm2Hg, with properties calculated at the GGA-PBE level.

Unit cell a=11.024 b=11.024 c=11.024 alpha=19.47 beta=19.47 gamma=19.47
Fractional positions:
Pr  0.000  0.000  0.000
Sm  0.574  0.574  0.574
Sm  0.759  0.759  0.759
Hg  0.167  0.167  0.167

Computed properties:
Volume (A^3/atom): 32.53


<B>
Below is an optimized crystal structure of PrSm2Hg, with properties calculated at the GGA-PBE level.

Unit cell a=3.721 b=3.721 c=9.007 alpha=90.00 beta=90.00 gamma=90.00
Fractional positions:
Pr  0.000  0.000  0.000
Sm  0.500  0.500  0.282
Sm  0.500  0.500  0.718
Hg  0.000  0.000  0.500

Computed properties:
Volume (A^3/atom): 31.18


<C>
Below is an optimized crystal structure of PrSm2Hg, with properties calculated at the GGA-PBE level.

Unit cell a=11.060 b=11.060 c=11.060 alpha=19.29 beta=19.29 gamma=19.29
Fractional positions:
Pr  0.000  0.000  0.000
Sm  0.242  0.242  0.242
Sm  0.758  0.758  0.758
Hg  0.500  0.500  0.500

Computed properties:
Volume (A^3/atom): 32.28


Least stable = <A>


<A>
Below is an optimized crystal structure of PrSmHg3, with properties calculated at the GGA-PBE level.

Unit cell a=14.987 b=14.987 c=5.037 alpha=90.00 beta=90.00 gamma=166.20
Fractional positions:
Pr  0.075  0.925  0.750
Pr  0.925  0.075  0.250
Sm  0.210  0.790  0.250
Sm  0.790  0.210  0.750
Hg  0.320  0.680  0.250
Hg  0.379  0.621  0.750
Hg  0.476  0.524  0.750
Hg  0.524  0.476  0.250
Hg  0.621  0.379  0.250
Hg  0.680  0.320  0.750

Computed properties:
Volume (A^3/atom): 26.98


<B>
Below is an optimized crystal structure of PrSmHg3, with properties calculated at the GGA-PBE level.

Unit cell a=7.362 b=7.362 c=6.539 alpha=90.00 beta=90.00 gamma=120.00
Fractional positions:
Pr  0.000  0.000  0.000
Pr  0.000  0.000  0.500
Sm  0.333  0.667  0.250
Sm  0.667  0.333  0.750
Hg  0.204  0.407  0.750
Hg  0.204  0.796  0.750
Hg  0.407  0.204  0.250
Hg  0.593  0.796  0.750
Hg  0.796  0.204  0.250
Hg  0.796  0.593  0.250

Computed properties:
Volume (A^3/atom): 30.69


Least stable = <B>


<A>
Below is an optimized crystal structure of Pr6Sm2Hg, with properties calculated at the GGA-PBE level.

Unit cell a=9.749 b=9.749 c=3.770 alpha=90.00 beta=90.00 gamma=120.00
Fractional positions:
Pr  0.000  0.271  0.000
Pr  0.000  0.621  0.500
Pr  0.271  0.000  0.000
Pr  0.379  0.379  0.500
Pr  0.621  0.000  0.500
Pr  0.729  0.729  0.000
Sm  0.333  0.667  0.000
Sm  0.667  0.333  0.000
Hg  0.000  0.000  0.500

Computed properties:
Volume (A^3/atom): 34.48


<B>
Below is an optimized crystal structure of Pr6Sm2Hg, with properties calculated at the GGA-PBE level.

Unit cell a=9.790 b=9.790 c=9.790 alpha=158.39 beta=114.77 gamma=69.59
Fractional positions:
Pr  0.020  0.180  0.840
Pr  0.281  0.500  0.781
Pr  0.339  0.180  0.160
Pr  0.661  0.820  0.840
Pr  0.719  0.500  0.219
Pr  0.980  0.820  0.160
Sm  0.355  0.855  0.500
Sm  0.645  0.145  0.500
Hg  0.000  0.000  0.000

Computed properties:
Volume (A^3/atom): 34.59


Least stable = <B>


<A>
Below is an optimized crystal structure of Pr6SmHg2, with properties calculated at the GGA-PBE level.

Unit cell a=6.825 b=6.825 c=12.393 alpha=107.86 beta=107.86 gamma=32.66
Fractional positions:
Pr  0.023  0.023  0.337
Pr  0.310  0.310  0.410
Pr  0.314  0.314  0.124
Pr  0.686  0.686  0.876
Pr  0.690  0.690  0.590
Pr  0.977  0.977  0.663
Sm  0.000  0.000  0.000
Hg  0.360  0.360  0.804
Hg  0.640  0.640  0.196

Computed properties:
Volume (A^3/atom): 32.80


<B>
Below is an optimized crystal structure of Pr6SmHg2, with properties calculated at the GGA-PBE level.

Unit cell a=9.853 b=9.853 c=6.299 alpha=94.52 beta=94.52 gamma=73.15
Fractional positions:
Pr  0.063  0.820  0.994
Pr  0.150  0.398  0.168
Pr  0.180  0.937  0.506
Pr  0.230  0.535  0.689
Pr  0.398  0.150  0.668
Pr  0.465  0.770  0.811
Pr  0.535  0.230  0.189
Pr  0.602  0.850  0.332
Pr  0.770  0.465  0.311
Pr  0.820  0.063  0.494
Pr  0.850  0.602  0.832
Pr  0.937  0.180  0.006
Sm  0.397  0.603  0.250
Sm  0.603  0.397  0.750
Hg  0.040  0.291  0.596
Hg  0.291  0.040  0.096
Hg  0.709  0.960  0.904
Hg  0.960  0.709  0.404

Computed properties:
Volume (A^3/atom): 32.36


Least stable = <B>


<A>
Below is an optimized crystal structure of PrSm2Hg8, with properties calculated at the GGA-PBE level.

Unit cell a=8.756 b=8.756 c=8.756 alpha=145.45 beta=129.96 gamma=62.23
Fractional positions:
Pr  0.000  0.000  0.000
Sm  0.310  0.310  0.000
Sm  0.690  0.690  0.000
Hg  0.136  0.849  0.286
Hg  0.158  0.658  0.500
Hg  0.292  0.500  0.792
Hg  0.437  0.151  0.286
Hg  0.563  0.849  0.714
Hg  0.708  0.500  0.208
Hg  0.842  0.342  0.500
Hg  0.864  0.151  0.714

Computed properties:
Volume (A^3/atom): 26.25


<B>
Below is an optimized crystal structure of PrSm2Hg8, with properties calculated at the GGA-PBE level.

Unit cell a=8.502 b=8.502 c=7.343 alpha=109.11 beta=109.11 gamma=34.57
Fractional positions:
Pr  0.000  0.000  0.000
Sm  0.290  0.290  0.348
Sm  0.710  0.710  0.652
Hg  0.095  0.095  0.461
Hg  0.174  0.174  0.902
Hg  0.348  0.348  0.821
Hg  0.476  0.476  0.273
Hg  0.524  0.524  0.727
Hg  0.652  0.652  0.179
Hg  0.826  0.826  0.098
Hg  0.905  0.905  0.539

Computed properties:
Volume (A^3/atom): 25.72


Least stable = <A>


<A>
Below is an optimized crystal structure of Pr2Sm6Hg, with properties calculated at the GGA-PBE level.

Unit cell a=9.652 b=9.652 c=9.652 alpha=158.19 beta=114.44 gamma=69.99
Fractional positions:
Pr  0.141  0.141  0.000
Pr  0.859  0.859  0.000
Sm  0.161  0.819  0.342
Sm  0.230  0.500  0.730
Sm  0.477  0.819  0.658
Sm  0.523  0.181  0.342
Sm  0.770  0.500  0.270
Sm  0.839  0.181  0.658
Hg  0.500  0.000  0.500

Computed properties:
Volume (A^3/atom): 33.52


<B>
Below is an optimized crystal structure of Pr2Sm6Hg, with properties calculated at the GGA-PBE level.

Unit cell a=9.585 b=9.585 c=3.765 alpha=90.00 beta=90.00 gamma=120.00
Fractional positions:
Pr  0.333  0.667  0.000
Pr  0.667  0.333  0.000
Sm  0.000  0.383  0.500
Sm  0.000  0.734  0.000
Sm  0.266  0.266  0.000
Sm  0.383  0.000  0.500
Sm  0.617  0.617  0.500
Sm  0.734  0.000  0.000
Hg  0.000  0.000  0.500

Computed properties:
Volume (A^3/atom): 33.29


Least stable = <A>